# 1
BeFe2F (PBE with a Hubbard U, optimized geometry); crystal system = cubic; symmetry = Fm-3m; total magnetic moment = 5.83 Bohr magnetons per cell; raw total energy = -15.6 eV per formula unit; density of states at the Fermi level = 2.04 states/eV/cell
1.0
2.636 -3.141 -0.092
1.372 -1.630 3.505
-1.229 -3.743 1.141
Be Fe F
1 2 1
Direct
0.000 0.000 0.000
0.250 0.250 0.250
0.750 0.750 0.750
0.500 0.500 0.500

=====

# 2
Be3FeF (PBE with a Hubbard U, optimized geometry); crystal system = cubic; symmetry = Pm-3m; total magnetic moment = 3.37 Bohr magnetons per cell; raw total energy = -13.8 eV per formula unit; density of states at the Fermi level = 2.55 states/eV/cell
1.0
4.336 0.000 0.000
0.000 4.336 0.000
0.000 0.000 4.336
Be Fe F
3 1 1
Direct
0.000 0.500 0.000
0.000 0.000 0.500
0.500 0.000 0.000
0.000 0.000 0.000
0.500 0.500 0.500

=====

# 3
Be2FeF6 (PBE with a Hubbard U, optimized geometry); crystal system = monoclinic; symmetry = C2/c; total magnetic moment = 8.00 Bohr magnetons per cell; raw total energy = -51.2 eV per formula unit; density of states at the Fermi level = 0.00 states/eV/cell
1.0
5.232 -0.001 -0.001
1.519 6.433 -0.090
1.519 0.118 6.433
Be Fe F
4 2 12
Direct
0.268 0.619 0.777
0.232 0.223 0.381
0.732 0.381 0.223
0.768 0.777 0.619
0.250 0.112 0.888
0.750 0.888 0.112
0.544 0.649 0.642
0.956 0.358 0.351
0.456 0.351 0.358
0.044 0.642 0.649
0.802 0.885 0.406
0.698 0.594 0.115
0.198 0.115 0.594
0.302 0.406 0.885
0.161 0.807 0.941
0.339 0.059 0.193
0.839 0.193 0.059
0.661 0.941 0.807

=====

# 4
BeFe2F (PBE with a Hubbard U, optimized geometry); crystal system = tetragonal; symmetry = I-42d; total magnetic moment = 13.12 Bohr magnetons per cell; raw total energy = -16.6 eV per formula unit; density of states at the Fermi level = 2.50 states/eV/cell
1.0
6.082 0.000 0.000
0.000 6.082 0.000
3.041 3.041 2.830
Be Fe F
2 4 2
Direct
0.500 0.500 0.000
0.250 0.750 0.500
0.639 0.125 0.250
0.111 0.625 0.250
0.375 0.361 0.750
0.875 0.889 0.750
0.000 0.000 0.000
0.750 0.250 0.500

=====

The lowest density of states at the Fermi level belongs to which entry? Be2FeF6

=====

Which of these has the highest raw total energy? Be3FeF